Entry 1:
Material: SmLuZr2
Method: DFT, PBE
State: relaxed

Volume = 106.4 Å³ per cell
Formation energy from the elements = 215 meV per atom
ρ = 7.927 Mg/m³
Distance to the lowest polymorph of the same formula = 0.090 eV per atom
Calculated total energy = -6.3691 eV per atom

a = 3.9150 Å, b = 3.9150 Å, c = 6.9400 Å
α = 90.00°, β = 90.00°, γ = 90.00°
Last column: nearest neighbours and their distance in Å.
Fractional positions:
Lu 0.5000 0.5000 0.0000  8 Zr 3.18, 2 Sm 3.47
Zr 0.0000 0.0000 0.2244  1 Zr 3.11, 4 Lu 3.18, 4 Sm 3.36
Zr 0.0000 0.0000 0.7756  1 Zr 3.11, 4 Lu 3.18, 4 Sm 3.36
Sm 0.5000 0.5000 0.5000  8 Zr 3.36, 2 Lu 3.47


Entry 2:
Material: SmLu2Zr
Method: DFT, PBE
State: relaxed

Volume = 113.4 Å³ per cell
Formation energy from the elements = 70 meV per atom
ρ = 8.665 Mg/m³
Distance to the lowest polymorph of the same formula = 0.000 eV per atom
Calculated total energy = -5.5069 eV per atom

a = 3.4179 Å, b = 3.4179 Å, c = 11.3775 Å
α = 81.36°, β = 81.36°, γ = 60.00°
Last column: nearest neighbours and their distance in Å.
Fractional positions:
Zr 0.0000 0.0000 0.0000  6 Lu 3.27, 6 Zr 3.42
Lu 0.7443 0.7443 0.7672  3 Zr 3.27, 6 Lu 3.42, 3 Sm 3.59
Lu 0.2557 0.2557 0.2328  3 Zr 3.27, 6 Lu 3.42, 3 Sm 3.59
Sm 0.5000 0.5000 0.5000  6 Sm 3.42, 6 Lu 3.59


Q: Which value of ρ does entry 2 give?
A: 8.665 Mg/m³


Please write out number 1 again, unchanged.
Material: SmLuZr2
Method: DFT, PBE
State: relaxed

Volume = 106.4 Å³ per cell
Formation energy from the elements = 215 meV per atom
ρ = 7.927 Mg/m³
Distance to the lowest polymorph of the same formula = 0.090 eV per atom
Calculated total energy = -6.3691 eV per atom

a = 3.9150 Å, b = 3.9150 Å, c = 6.9400 Å
α = 90.00°, β = 90.00°, γ = 90.00°
Last column: nearest neighbours and their distance in Å.
Fractional positions:
Lu 0.5000 0.5000 0.0000  8 Zr 3.18, 2 Sm 3.47
Zr 0.0000 0.0000 0.2244  1 Zr 3.11, 4 Lu 3.18, 4 Sm 3.36
Zr 0.0000 0.0000 0.7756  1 Zr 3.11, 4 Lu 3.18, 4 Sm 3.36
Sm 0.5000 0.5000 0.5000  8 Zr 3.36, 2 Lu 3.47


Q: Which formula does entry 1 have?
A: SmLuZr2


Q: What is the formula in the first record?
A: SmLuZr2